(1)
This record from Alexandria describes a geometry-optimized Nd4SiHgBr2 structure. The functional is PBE.

Calculated values
E_tot (eV/atom): -4.425
Magnetization (μB/f.u.): 0.00

Unit cell a=7.512 b=4.287 c=7.689 alpha=90.00 beta=108.59 gamma=90.00
Fractional positions:
Nd (0.224, 0.000, 0.228)
Nd (0.234, 0.500, 0.757)
Nd (0.766, 0.500, 0.243)
Nd (0.776, 0.000, 0.772)
Si (0.000, 0.500, 0.000)
Hg (0.000, 0.000, 0.500)
Br (0.500, 0.000, 0.000)
Br (0.500, 0.500, 0.500)


(2)
This record from Alexandria describes a geometry-optimized NdErTh2 structure. The functional is PBE.

Calculated values
ΔE_f (eV per formula unit): 1.02
Polymorph energy (0 for the lowest one) (meV per atom): 226
E_tot (eV/atom): -5.787
Magnetization (μB/f.u.): 0.00

Unit cell a=3.510 b=8.930 c=8.959 alpha=88.81 beta=83.76 gamma=78.68
Fractional positions:
Nd (0.000, 0.000, 0.000)
Nd (0.500, 0.000, 0.500)
Er (0.097, 0.305, 0.750)
Er (0.903, 0.695, 0.250)
Th (0.209, 0.653, 0.591)
Th (0.361, 0.347, 0.091)
Th (0.639, 0.653, 0.909)
Th (0.791, 0.347, 0.409)


magnetization of number 1 (Nd4SiHgBr2)?
0.00 μB/f.u.


Which value of magnetization does entry 1 give?
0.00 μB/f.u.